## BaNb3NO7 (SCAN)

Data for BaNb3NO7 at its PBEsol-relaxed geometry.

The structure in extended XYZ format:
```
24
Lattice="10.451 -1.927 0.000 10.451 1.927 0.000 -0.144 0.000 8.981" Properties=species:S:1:pos:R:3 pbc="T T T"
Ba 0.000 0.000 0.000
Ba 0.663 0.000 4.535
Nb 5.200 0.000 8.903
Nb 7.991 0.000 2.773
Nb 8.038 0.000 6.115
Nb 13.496 0.000 1.732
Nb 13.432 0.000 7.304
Nb 16.157 0.000 4.528
N 3.457 0.000 7.635
N 9.065 0.000 4.481
O 3.449 0.000 1.493
O 6.276 0.000 4.515
O 6.417 0.000 1.480
O 6.442 0.000 7.583
O 9.360 0.000 1.557
O 9.364 0.000 7.383
O 12.025 0.000 6.128
O 12.094 0.000 2.893
O 12.418 0.000 0.058
O 14.936 0.000 5.884
O 14.991 0.000 3.101
O 15.210 0.000 0.113
O 17.942 0.000 3.086
O 17.903 0.000 5.921
```

Output
formation energy without anion corrections = -2.61 eV per atom
SG = Cm, No. 8